A plane-wave DFT calculation with PBE-GGA was carried out for an optimized crystal structure of BSbPd2.

Cell lengths 6.2866, 6.2866, 6.2866 Å; angles 90.00, 90.00, 90.00 degrees
Space group Fm-3m (No. 225)
Inequivalent atoms, fractional coordinates:
B (0.0000, 0.0000, 0.0000) x4
Sb (0.0000, 0.0000, 0.5000) x4
Pd (0.2500, 0.2500, 0.2500) x8

VASP energy, eV per cell: -77.5
Relative energy among the computed polymorphs, meV per atom: 346.6
E_form (uncorrected), eV/atom: 0.455